The following is a PBE calculation of a relaxed structure of Li2Sc2Al2AgIr, from OQMD via LeMat-Bulk.

Its volume is 16.365 Å³ per atom. The final energy comes out at -4.9840 eV/atom.

It has space group P-4m2 (No. 115), with a = 4.495 Å, b = 4.495 Å, c = 6.478 Å, α = 90.00°, β = 90.00° and γ = 90.00°. The distinct sites, in fractional coordinates, are Li at (0.000, 0.000, 0.000), Li at (0.500, 0.500, 0.500), Sc at (0.000, 0.500, 0.237), Al at (0.000, 0.500, 0.770), Ag at (0.000, 0.000, 0.500) and Ir at (0.500, 0.500, 0.000).

The following is a PBE calculation of a relaxed structure of AlAg2IrSe4, from OQMD via LeMat-Bulk.

Its volume is 25.050 Å³ per atom. The final energy comes out at -4.1846 eV/atom.

It has space group I-4 (No. 82), with a = 5.876 Å, b = 5.876 Å, c = 11.607 Å, α = 90.00°, β = 90.00° and γ = 90.00°. The distinct sites, in fractional coordinates, are Al at (0.000, 0.000, 0.000), Ag at (0.000, 0.000, 0.500), Ag at (0.000, 0.500, 0.750), Ir at (0.000, 0.500, 0.250) and Se at (0.217, 0.746, 0.126).

The following is a PBE calculation of a relaxed structure of Tb2TmAl3AgIr2, from OQMD via LeMat-Bulk.

Its volume is 19.744 Å³ per atom. The final energy comes out at -5.7744 eV/atom.

It has space group Amm2 (No. 38), with a = 4.172 Å, b = 12.115 Å, c = 7.032 Å, α = 90.00°, β = 90.00° and γ = 90.00°. The distinct sites, in fractional coordinates, are Tb at (0.000, 0.210, 0.000), Tm at (0.000, 0.000, 0.372), Al at (0.500, 0.000, 0.044), Al at (0.500, 0.127, 0.664), Ag at (0.000, 0.000, 0.784) and Ir at (0.500, 0.162, 0.292).